No. 1
Li2FeH6Pd: relaxed, GGA-PBE. Values from VASP.

Structure (Quantum ESPRESSO input):
```
&SYSTEM
  ibrav = 0, nat = 20, ntyp = 4
/
ATOMIC_SPECIES
Li 6.94 Li.upf
Fe 55.84 Fe.upf
H 1.01 H.upf
Pd 106.42 Pd.upf
CELL_PARAMETERS angstrom
4.669 0.000 0.000
-0.023 4.699 0.000
-0.016 -0.010 6.546
ATOMIC_POSITIONS angstrom
Li 0.012 0.142 1.643
Li 2.297 2.489 1.630
Li 2.331 2.201 4.916
Li 4.616 4.547 4.902
Fe -0.020 2.345 3.273
Fe 2.334 0.000 0.000
H 0.409 2.508 4.838
H 0.868 3.687 2.991
H 0.996 3.782 0.335
H 1.301 1.427 2.952
H 1.418 1.327 0.268
H 1.886 0.164 4.981
H 2.743 4.525 1.564
H 3.211 3.362 6.277
H 3.328 3.262 3.594
H 3.633 0.907 6.211
H 3.761 1.003 3.555
H 4.219 2.182 1.707
Pd -0.012 2.350 0.000
Pd 2.326 -0.005 3.273
```

- total moment (μB/f.u.) = 1.4
- raw total energy (eV per atom) = -3.88

=====

No. 2
Er3Zr3Te2Os: relaxed, GGA-PBE. Values from VASP.

Structure (Quantum ESPRESSO input):
```
&SYSTEM
  ibrav = 0, nat = 9, ntyp = 4
/
ATOMIC_SPECIES
Er 167.26 Er.upf
Zr 91.22 Zr.upf
Te 127.60 Te.upf
Os 190.23 Os.upf
CELL_PARAMETERS angstrom
8.064 0.000 0.000
-4.032 6.983 0.000
0.000 0.000 3.765
ATOMIC_POSITIONS angstrom
Er -0.993 1.720 0.000
Er 1.986 0.000 0.000
Er 3.039 5.263 0.000
Zr -2.410 4.174 1.882
Zr 1.622 2.809 1.882
Zr 4.820 0.000 1.882
Te 0.000 4.656 0.000
Te 4.032 2.328 0.000
Os 0.000 0.000 1.882
```

- total moment (μB/f.u.) = 0.0
- E above lowest polymorph (eV per formula unit) = 1.72